First-principles (PBE+U) data for crystalline Ba2CaMnFe2F14 at its relaxed geometry, as listed in Alexandria via LeMat-Bulk.

Raw total energy = -228.7 eV per cell

abc: 7.5096 7.5096 15.2501
angles: 88.91 88.91 42.62
Sites, in units of the cell vectors:
Ba  0.6393  0.7393  0.8768
Ba  0.3607  0.2607  0.1232
Ba  0.2607  0.3607  0.6232
Ba  0.7393  0.6393  0.3768
Ca  0.9459  0.0541  0.7500
Ca  0.0541  0.9459  0.2500
Mn  0.0000  0.0000  0.5000
Mn  0.0000  0.0000  0.0000
Fe  0.6176  0.6232  0.6243
Fe  0.3824  0.3768  0.3757
Fe  0.3768  0.3824  0.8757
Fe  0.6232  0.6176  0.1243
F  0.5926  0.3906  0.6556
F  0.4074  0.6094  0.3444
F  0.6094  0.4074  0.8444
F  0.3906  0.5926  0.1556
F  0.6652  0.0729  0.9523
F  0.3348  0.9271  0.0477
F  0.9271  0.3348  0.5477
F  0.0729  0.6652  0.4523
F  0.5525  0.1246  0.7781
F  0.4475  0.8754  0.2219
F  0.8754  0.4475  0.7219
F  0.1246  0.5525  0.2781
F  0.6907  0.8147  0.5940
F  0.3093  0.1853  0.4060
F  0.1853  0.3093  0.9060
F  0.8147  0.6907  0.0940
F  0.3443  0.9013  0.7046
F  0.6557  0.0987  0.2954
F  0.0987  0.6557  0.7954
F  0.9013  0.3443  0.2046
F  0.4099  0.7642  0.5169
F  0.5901  0.2358  0.4831
F  0.2358  0.5901  0.9831
F  0.7642  0.4099  0.0169
F  0.8506  0.0384  0.1223
F  0.1494  0.9616  0.8777
F  0.9616  0.1494  0.3777
F  0.0384  0.8506  0.6223